! GGA-PBE TiIn3Br6, optimized geometry; values from VASP
! D(E_F)	0.649	states/eV/atom
! total DFT energy (no corrections)	-3.410	eV per atom
! E_form (uncorrected)	-0.80	eV per atom
! space-group type	Fmmm
! polymorph energy (0 for the lowest one)	0.063	eV/atom
&SYSTEM
  ibrav = 0, nat = 10, ntyp = 3
/
ATOMIC_SPECIES
Ti 47.87 Ti.upf
In 114.82 In.upf
Br 79.90 Br.upf
CELL_PARAMETERS angstrom
0.0000 5.6816 7.0558
4.6222 0.0000 7.0558
4.6222 5.6816 0.0000
ATOMIC_POSITIONS crystal
Ti 0.0000 0.0000 0.0000
In 0.2500 0.2500 0.2500
In 0.5000 0.5000 0.5000
In 0.7500 0.7500 0.7500
Br 0.0700 0.6704 0.9300
Br 0.2259 0.7741 0.2259
Br 0.3296 0.9300 0.6704
Br 0.6704 0.0700 0.3296
Br 0.7741 0.2259 0.7741
Br 0.9300 0.3296 0.0700


! GGA-PBE BaCa2W, optimized geometry; values from VASP
! D(E_F)	1.489	states/eV/atom
! total DFT energy (no corrections)	-3.744	eV per atom
! ΔE_f	0.975	eV/atom
! space-group type	C2/m
! polymorph energy (0 for the lowest one)	0.123	eV/atom
&SYSTEM
  ibrav = 0, nat = 4, ntyp = 3
/
ATOMIC_SPECIES
Ba 137.33 Ba.upf
Ca 40.08 Ca.upf
W 183.84 W.upf
CELL_PARAMETERS angstrom
5.5414 -1.6429 0.0000
5.5414 1.6429 0.0000
-0.8456 0.0000 6.7142
ATOMIC_POSITIONS crystal
Ba 0.0000 0.0000 0.0000
Ca 0.2296 0.2296 0.7076
Ca 0.7704 0.7704 0.2924
W 0.5000 0.5000 0.5000


! GGA-PBE PaGeAu, optimized geometry; values from VASP
! D(E_F)	1.608	states/eV/atom
! total DFT energy (no corrections)	-5.863	eV per atom
! ΔE_f	-0.067	eV/atom
! space-group type	F-43m
&SYSTEM
  ibrav = 0, nat = 3, ntyp = 3
/
ATOMIC_SPECIES
Pa 231.04 Pa.upf
Ge 72.64 Ge.upf
Au 196.97 Au.upf
CELL_PARAMETERS angstrom
0.0000 3.3089 3.3089
3.3089 0.0000 3.3089
3.3089 3.3089 0.0000
ATOMIC_POSITIONS crystal
Pa 0.0000 0.0000 0.0000
Ge 0.7500 0.7500 0.7500
Au 0.5000 0.5000 0.5000


! GGA-PBE CdAu2Se, optimized geometry; values from VASP
! D(E_F)	0.056	states/eV/atom
! total DFT energy (no corrections)	-2.659	eV per atom
! E_form (uncorrected)	0.08	eV per atom
! space-group type	I-42d
! polymorph energy (0 for the lowest one)	0.115	eV/atom
&SYSTEM
  ibrav = 0, nat = 8, ntyp = 3
/
ATOMIC_SPECIES
Cd 112.41 Cd.upf
Au 196.97 Au.upf
Se 78.96 Se.upf
CELL_PARAMETERS angstrom
-2.6614 2.6614 7.5949
2.6614 -2.6614 7.5949
2.6614 2.6614 -7.5949
ATOMIC_POSITIONS crystal
Cd 0.0000 0.0000 0.0000
Cd 0.7500 0.2500 0.5000
Au 0.1834 0.6250 0.0584
Au 0.3750 0.4334 0.5584
Au 0.5666 0.1250 0.9416
Au 0.8750 0.8166 0.4416
Se 0.2500 0.7500 0.5000
Se 0.5000 0.5000 0.0000


! GGA-PBE MgZn4Ag2, optimized geometry; values from VASP
! D(E_F)	0.520	states/eV/atom
! total DFT energy (no corrections)	-1.715	eV per atom
! ΔE_f	0.055	eV/atom
! space-group type	I4/mmm
! polymorph energy (0 for the lowest one)	0.110	eV/atom
&SYSTEM
  ibrav = 0, nat = 7, ntyp = 3
/
ATOMIC_SPECIES
Mg 24.30 Mg.upf
Zn 65.41 Zn.upf
Ag 107.87 Ag.upf
CELL_PARAMETERS angstrom
-2.8153 2.8153 3.9590
2.8153 -2.8153 3.9590
2.8153 2.8153 -3.9590
ATOMIC_POSITIONS crystal
Mg 0.0000 0.0000 0.0000
Zn 0.0000 0.0000 0.5000
Zn 0.0000 0.5000 0.0000
Zn 0.5000 0.0000 0.0000
Zn 0.5000 0.5000 0.5000
Ag 0.0000 0.5000 0.5000
Ag 0.5000 0.0000 0.5000


! GGA-PBE Hf2Np3UN6, optimized geometry; values from VASP
! D(E_F)	1.367	states/eV/atom
! total DFT energy (no corrections)	-11.400	eV per atom
! E_form (uncorrected)	-1.40	eV per atom
! space-group type	C2/m
&SYSTEM
  ibrav = 0, nat = 12, ntyp = 4
/
ATOMIC_SPECIES
Hf 178.49 Hf.upf
Np 237.00 Np.upf
U 238.03 U.upf
N 14.01 N.upf
CELL_PARAMETERS angstrom
2.8932 -5.0081 0.0000
2.8932 5.0081 0.0000
-1.9318 0.0000 5.5664
ATOMIC_POSITIONS crystal
Hf 0.1669 0.8331 0.0000
Hf 0.8331 0.1669 0.0000
Np 0.0000 0.0000 0.5000
Np 0.3339 0.6661 0.5000
Np 0.6661 0.3339 0.5000
U 0.5000 0.5000 0.0000
N 0.0830 0.4238 0.7727
N 0.2340 0.2340 0.2252
N 0.4238 0.0830 0.7727
N 0.5762 0.9170 0.2273
N 0.7660 0.7660 0.7748
N 0.9170 0.5762 0.2273


! GGA-PBE KSrPb2, optimized geometry; values from VASP
! D(E_F)	0.490	states/eV/atom
! total DFT energy (no corrections)	-2.814	eV per atom
! ΔE_f	-0.265	eV/atom
! space-group type	Cm
! polymorph energy (0 for the lowest one)	0.046	eV/atom
&SYSTEM
  ibrav = 0, nat = 4, ntyp = 3
/
ATOMIC_SPECIES
K 39.10 K.upf
Sr 87.62 Sr.upf
Pb 207.20 Pb.upf
CELL_PARAMETERS angstrom
6.2219 -2.3211 0.0000
6.2219 2.3211 0.0000
-2.5305 0.0000 5.0399
ATOMIC_POSITIONS crystal
K 0.0000 0.0000 0.0000
Sr 0.2179 0.2179 0.7173
Pb 0.4533 0.4533 0.4546
Pb 0.7648 0.7648 0.2629


! GGA-PBE HoErTlNi, optimized geometry; values from VASP
! D(E_F)	1.030	states/eV/atom
! total DFT energy (no corrections)	-4.581	eV per atom
! ΔE_f	-0.259	eV/atom
! space-group type	F-43m
&SYSTEM
  ibrav = 0, nat = 4, ntyp = 4
/
ATOMIC_SPECIES
Ho 164.93 Ho.upf
Er 167.26 Er.upf
Tl 204.38 Tl.upf
Ni 58.69 Ni.upf
CELL_PARAMETERS angstrom
0.0000 3.5916 3.5916
3.5916 0.0000 3.5916
3.5916 3.5916 0.0000
ATOMIC_POSITIONS crystal
Ho 0.0000 0.0000 0.0000
Er 0.5000 0.5000 0.5000
Tl 0.2500 0.2500 0.2500
Ni 0.7500 0.7500 0.7500


Question: Among the records above, which one has the lowest D(E_F)?
Answer: CdAu2Se